Entry 1:
Material: HoPS4
Method: DFT, PBE-GGA
State: optimized geometry

Calculated values
* SG: P222
* E_tot: -62.8 eV per cell
* crystal system: orthorhombic

Lattice parameters (Å, degrees): 6.272 6.320 9.736 90.00 90.00 90.00
Atoms (fractional coordinates):
Ho 0.000 0.000 0.000
Ho 0.500 0.000 0.500
P 0.000 0.000 0.500
P 0.000 0.500 0.000
S 0.188 0.191 0.622
S 0.188 0.809 0.378
S 0.199 0.313 0.117
S 0.199 0.687 0.883
S 0.801 0.313 0.883
S 0.801 0.687 0.117
S 0.812 0.191 0.378
S 0.812 0.809 0.622

---

Entry 2:
Material: HoPSeS3
Method: DFT, PBE-GGA
State: optimized geometry

Calculated values
* relative energy among the computed polymorphs: 0 meV/atom
* SG: P-1
* crystal system: triclinic

Lattice parameters (Å, degrees): 6.466 6.723 7.696 88.46 87.30 82.62
Atoms (fractional coordinates):
Ho 0.206 0.203 0.057
Ho 0.794 0.797 0.943
P 0.311 0.761 0.816
P 0.689 0.239 0.184
Se 0.124 0.510 0.776
Se 0.876 0.490 0.224
S 0.093 0.007 0.765
S 0.384 0.781 0.074
S 0.428 0.255 0.338
S 0.572 0.745 0.662
S 0.616 0.219 0.926
S 0.907 0.993 0.235

---

Entry 3:
Material: HoPSeS3
Method: DFT, PBE-GGA
State: optimized geometry

Calculated values
* relative energy among the computed polymorphs: 1 meV/atom
* SG: P-1
* crystal system: triclinic

Lattice parameters (Å, degrees): 6.496 6.593 7.723 88.01 87.06 82.30
Atoms (fractional coordinates):
Ho 0.205 0.208 0.056
Ho 0.795 0.792 0.944
P 0.304 0.757 0.817
P 0.696 0.243 0.183
Se 0.418 0.267 0.356
Se 0.582 0.733 0.644
S 0.089 0.011 0.765
S 0.126 0.522 0.795
S 0.384 0.779 0.072
S 0.616 0.221 0.928
S 0.874 0.478 0.205
S 0.911 0.989 0.235

---

Entry 4:
Material: HoTe3PS
Method: DFT, PBE-GGA
State: optimized geometry

Calculated values
* SG: P-1
* E_tot: -54.1 eV per cell
* crystal system: triclinic

Lattice parameters (Å, degrees): 6.845 7.261 8.695 90.76 90.15 107.13
Atoms (fractional coordinates):
Ho 0.196 0.278 0.059
Ho 0.804 0.722 0.941
Te 0.070 0.483 0.765
Te 0.270 0.101 0.362
Te 0.492 0.350 0.778
Te 0.508 0.650 0.222
Te 0.730 0.899 0.638
Te 0.930 0.517 0.235
P 0.226 0.817 0.198
P 0.774 0.183 0.802
S 0.217 0.914 0.972
S 0.783 0.086 0.028

---

Entry 5:
Material: Ho2PSe
Method: DFT, PBE-GGA
State: optimized geometry

Calculated values
* SG: Pmmn
* E_tot: -50.2 eV per cell
* crystal system: orthorhombic

Lattice parameters (Å, degrees): 4.004 5.664 8.124 90.00 90.00 90.00
Atoms (fractional coordinates):
Ho 0.250 0.250 0.111
Ho 0.250 0.250 0.648
Ho 0.750 0.750 0.352
Ho 0.750 0.750 0.889
P 0.250 0.750 0.124
P 0.750 0.250 0.876
Se 0.250 0.750 0.620
Se 0.750 0.250 0.380

---

Entry 6:
Material: Ho3PSe2
Method: DFT, PBE-GGA
State: optimized geometry

Calculated values
* relative energy among the computed polymorphs: 14 meV/atom
* SG: P-3m1
* crystal system: trigonal

Lattice parameters (Å, degrees): 4.025 4.025 9.930 90.00 90.00 120.00
Atoms (fractional coordinates):
Ho 0.000 0.000 0.000
Ho 0.333 0.667 0.350
Ho 0.667 0.333 0.650
P 0.000 0.000 0.500
Se 0.333 0.667 0.832
Se 0.667 0.333 0.168

---

Entry 7:
Material: Ho3P2Se
Method: DFT, PBE-GGA
State: optimized geometry

Calculated values
* relative energy among the computed polymorphs: 0 meV/atom
* SG: P-3m1
* crystal system: trigonal

Lattice parameters (Å, degrees): 4.001 4.001 9.898 90.00 90.00 120.00
Atoms (fractional coordinates):
Ho 0.000 0.000 0.000
Ho 0.333 0.667 0.314
Ho 0.667 0.333 0.686
P 0.333 0.667 0.836
P 0.667 0.333 0.164
Se 0.000 0.000 0.500

---

Entry 8:
Material: Ho3P2Se
Method: DFT, PBE-GGA
State: optimized geometry

Calculated values
* relative energy among the computed polymorphs: 4 meV/atom
* SG: Immm
* crystal system: orthorhombic

Lattice parameters (Å, degrees): 6.954 6.954 6.954 146.57 131.94 59.81
Atoms (fractional coordinates):
Ho 0.000 0.000 0.000
Ho 0.323 0.323 0.000
Ho 0.677 0.677 0.000
P 0.164 0.664 0.500
P 0.836 0.336 0.500
Se 0.500 0.000 0.500

---

Entry 9:
Material: Sm2HoP3
Method: DFT, PBE-GGA
State: optimized geometry

Calculated values
* SG: P-3m1
* E_tot: -39.7 eV per cell
* crystal system: trigonal

Lattice parameters (Å, degrees): 4.067 4.067 9.953 90.00 90.00 120.00
Atoms (fractional coordinates):
Sm 0.333 0.667 0.330
Sm 0.667 0.333 0.670
Ho 0.000 0.000 0.000
P 0.000 0.000 0.500
P 0.333 0.667 0.840
P 0.667 0.333 0.160

---

Entry 10:
Material: Ho4SnP2
Method: DFT, PBE-GGA
State: optimized geometry

Calculated values
* SG: P3m1
* E_tot: -37.5 eV per cell
* crystal system: trigonal

Lattice parameters (Å, degrees): 4.474 4.474 12.376 90.00 90.00 120.00
Atoms (fractional coordinates):
Ho 0.000 0.000 0.000
Ho 0.000 0.000 0.452
Ho 0.333 0.667 0.265
Ho 0.333 0.667 0.798
Sn 0.333 0.667 0.560
P 0.000 0.000 0.218
P 0.667 0.333 0.898

---

Entry 11:
Material: HoTc4P2
Method: DFT, PBE-GGA
State: optimized geometry

Calculated values
* SG: Cmmm
* E_tot: -61.8 eV per cell
* crystal system: orthorhombic

Lattice parameters (Å, degrees): 7.043 7.043 4.004 90.00 90.00 146.61
Atoms (fractional coordinates):
Ho 0.000 0.000 0.000
Tc 0.182 0.818 0.500
Tc 0.309 0.691 0.000
Tc 0.691 0.309 0.000
Tc 0.818 0.182 0.500
P 0.414 0.586 0.500
P 0.586 0.414 0.500

---

Entry 12:
Material: HoTm2P3
Method: DFT, PBE-GGA
State: optimized geometry

Calculated values
* SG: P-3m1
* E_tot: -39.4 eV per cell
* crystal system: trigonal

Lattice parameters (Å, degrees): 3.960 3.960 9.692 90.00 90.00 120.00
Atoms (fractional coordinates):
Ho 0.000 0.000 0.000
Tm 0.333 0.667 0.334
Tm 0.667 0.333 0.666
P 0.000 0.000 0.500
P 0.333 0.667 0.831
P 0.667 0.333 0.169

---

Entry 13:
Material: YHo2P2
Method: DFT, PBE-GGA
State: optimized geometry

Calculated values
* SG: Pbam
* E_tot: -62.3 eV per cell
* crystal system: orthorhombic

Lattice parameters (Å, degrees): 6.501 11.018 3.790 90.00 90.00 90.00
Atoms (fractional coordinates):
Y 0.000 0.000 0.000
Y 0.500 0.500 0.000
Ho 0.024 0.319 0.000
Ho 0.476 0.819 0.000
Ho 0.524 0.181 0.000
Ho 0.976 0.681 0.000
P 0.164 0.838 0.500
P 0.336 0.338 0.500
P 0.664 0.662 0.500
P 0.836 0.162 0.500

---

Entry 14:
Material: YHo2P3
Method: DFT, PBE-GGA
State: optimized geometry

Calculated values
* SG: P-3m1
* E_tot: -41.6 eV per cell
* crystal system: trigonal

Lattice parameters (Å, degrees): 3.992 3.992 9.792 90.00 90.00 120.00
Atoms (fractional coordinates):
Y 0.000 0.000 0.000
Ho 0.333 0.667 0.334
Ho 0.667 0.333 0.666
P 0.000 0.000 0.500
P 0.333 0.667 0.832
P 0.667 0.333 0.168

---

Entry 15:
Material: HoZr2P3
Method: DFT, PBE-GGA
State: optimized geometry

Calculated values
* SG: P-3m1
* E_tot: -46.6 eV per cell
* crystal system: trigonal

Lattice parameters (Å, degrees): 3.819 3.819 9.331 90.00 90.00 120.00
Atoms (fractional coordinates):
Ho 0.000 0.000 0.000
Zr 0.333 0.667 0.345
Zr 0.667 0.333 0.655
P 0.000 0.000 0.500
P 0.333 0.667 0.821
P 0.667 0.333 0.179

---

Entry 16:
Material: HoPaPb
Method: DFT, PBE-GGA
State: optimized geometry

Calculated values
* relative energy among the computed polymorphs: 0 meV/atom
* SG: F-43m
* crystal system: cubic

Lattice parameters (Å, degrees): 5.194 5.194 5.194 60.00 60.00 60.00
Atoms (fractional coordinates):
Ho 0.000 0.000 0.000
Pa 0.500 0.500 0.500
Pb 0.250 0.250 0.250

---

Entry 17:
Material: HoPaPd
Method: DFT, PBE-GGA
State: optimized geometry

Calculated values
* formation energy from the elements: 5 meV per atom
* relative energy among the computed polymorphs: 0 meV/atom
* SG: F-43m
* crystal system: cubic

Lattice parameters (Å, degrees): 4.846 4.846 4.846 60.00 60.00 60.00
Atoms (fractional coordinates):
Ho 0.000 0.000 0.000
Pa 0.500 0.500 0.500
Pd 0.250 0.250 0.250

---

Entry 18:
Material: HoPuPa
Method: DFT, PBE-GGA
State: optimized geometry

Calculated values
* formation energy from the elements: 720 meV per atom
* relative energy among the computed polymorphs: 0 meV/atom
* SG: F-43m
* crystal system: cubic

Lattice parameters (Å, degrees): 4.976 4.976 4.976 60.00 60.00 60.00
Atoms (fractional coordinates):
Ho 0.000 0.000 0.000
Pu 0.250 0.250 0.250
Pa 0.500 0.500 0.500

---

Entry 19:
Material: HoPaRe
Method: DFT, PBE-GGA
State: optimized geometry

Calculated values
* formation energy from the elements: 229 meV per atom
* SG: F-43m
* crystal system: cubic

Lattice parameters (Å, degrees): 4.769 4.769 4.769 60.00 60.00 60.00
Atoms (fractional coordinates):
Ho 0.000 0.000 0.000
Pa 0.500 0.500 0.500
Re 0.750 0.750 0.750

---

Entry 20:
Material: HoScPa
Method: DFT, PBE-GGA
State: optimized geometry

Calculated values
* formation energy from the elements: 978 meV per atom
* relative energy among the computed polymorphs: 0 meV/atom
* SG: F-43m
* crystal system: cubic

Lattice parameters (Å, degrees): 5.093 5.093 5.093 60.00 60.00 60.00
Atoms (fractional coordinates):
Ho 0.000 0.000 0.000
Sc 0.250 0.250 0.250
Pa 0.500 0.500 0.500

---

Entry 21:
Material: HoPaSi
Method: DFT, PBE-GGA
State: optimized geometry

Calculated values
* relative energy among the computed polymorphs: 0 meV/atom
* SG: F-43m
* crystal system: cubic

Lattice parameters (Å, degrees): 4.776 4.776 4.776 60.00 60.00 60.00
Atoms (fractional coordinates):
Ho 0.000 0.000 0.000
Pa 0.500 0.500 0.500
Si 0.250 0.250 0.250

---

Entry 22:
Material: SmHoPa
Method: DFT, PBE-GGA
State: optimized geometry

Calculated values
* formation energy from the elements: 1087 meV per atom
* relative energy among the computed polymorphs: 0 meV/atom
* SG: F-43m
* crystal system: cubic

Lattice parameters (Å, degrees): 5.272 5.272 5.272 60.00 60.00 60.00
Atoms (fractional coordinates):
Sm 0.000 0.000 0.000
Ho 0.750 0.750 0.750
Pa 0.500 0.500 0.500

---

Entry 23:
Material: Sr2HoPa4
Method: DFT, PBE-GGA
State: optimized geometry

Calculated values
* SG: P4/mmm
* E_tot: -40.3 eV per cell
* crystal system: tetragonal

Lattice parameters (Å, degrees): 4.308 4.308 12.228 90.00 90.00 90.00
Atoms (fractional coordinates):
Sr 0.000 0.000 0.000
Sr 0.500 0.500 0.500
Ho 0.000 0.000 0.500
Pa 0.000 0.500 0.265
Pa 0.000 0.500 0.735
Pa 0.500 0.000 0.265
Pa 0.500 0.000 0.735

---

Entry 24:
Material: SrHoPa
Method: DFT, PBE-GGA
State: optimized geometry

Calculated values
* relative energy among the computed polymorphs: 0 meV/atom
* SG: F-43m
* crystal system: cubic

Lattice parameters (Å, degrees): 5.514 5.514 5.514 60.00 60.00 60.00
Atoms (fractional coordinates):
Sr 0.000 0.000 0.000
Ho 0.250 0.250 0.250
Pa 0.500 0.500 0.500

---

Entry 25:
Material: HoPaTc2
Method: DFT, PBE-GGA
State: optimized geometry

Calculated values
* formation energy from the elements: -235 meV per atom
* SG: P4/mmm
* crystal system: tetragonal

Lattice parameters (Å, degrees): 3.419 3.419 6.916 90.00 90.00 90.00
Atoms (fractional coordinates):
Ho 0.000 0.000 0.000
Pa 0.000 0.000 0.500
Tc 0.500 0.500 0.279
Tc 0.500 0.500 0.721

---

Entry 26:
Material: HoPaTe
Method: DFT, PBE-GGA
State: optimized geometry

Calculated values
* relative energy among the computed polymorphs: 0 meV/atom
* SG: F-43m
* crystal system: cubic

Lattice parameters (Å, degrees): 5.087 5.087 5.087 60.00 60.00 60.00
Atoms (fractional coordinates):
Ho 0.000 0.000 0.000
Pa 0.500 0.500 0.500
Te 0.250 0.250 0.250

---

Entry 27:
Material: HoThPa
Method: DFT, PBE-GGA
State: optimized geometry

Calculated values
* formation energy from the elements: 1009 meV per atom
* relative energy among the computed polymorphs: 0 meV/atom
* SG: F-43m
* crystal system: cubic

Lattice parameters (Å, degrees): 5.237 5.237 5.237 60.00 60.00 60.00
Atoms (fractional coordinates):
Ho 0.000 0.000 0.000
Th 0.500 0.500 0.500
Pa 0.250 0.250 0.250